1.
First-principles (PBE) data for a relaxed Fe2HgMo crystal, as listed in Alexandria.

Summary:
Final energy in eV/atom: -6.48
Crystal system: tetragonal
Space-group type: P4/mmm, No. 123

a b c (Å): 4.470 4.470 2.988
angles (deg): 90.00 90.00 90.00
Sites, in units of the cell vectors:
Fe  0.000  0.500  0.000
Fe  0.500  0.000  0.000
Hg  0.000  0.000  0.500
Mo  0.500  0.500  0.500


2.
First-principles (PBE) data for a relaxed CdFe3 crystal, as listed in Alexandria.

Summary:
Final energy in eV/atom: -6.23
Crystal system: orthorhombic
Space-group type: Pnma, No. 62

a b c (Å): 4.681 8.825 5.426
angles (deg): 90.00 90.00 90.00
Sites, in units of the cell vectors:
Cd  0.049  0.250  0.120
Cd  0.451  0.750  0.620
Cd  0.549  0.250  0.380
Cd  0.951  0.750  0.880
Fe  0.053  0.250  0.637
Fe  0.228  0.509  0.369
Fe  0.228  0.991  0.369
Fe  0.272  0.009  0.869
Fe  0.272  0.491  0.869
Fe  0.447  0.750  0.137
Fe  0.553  0.250  0.863
Fe  0.728  0.509  0.131
Fe  0.728  0.991  0.131
Fe  0.772  0.009  0.631
Fe  0.772  0.491  0.631
Fe  0.947  0.750  0.363


3.
First-principles (PBE) data for a relaxed CdInW2 crystal, as listed in Alexandria.

Summary:
Crystal system: orthorhombic
Space-group type: Cmmm, No. 65
E above lowest polymorph in meV per atom: 263

a b c (Å): 3.316 4.602 9.540
angles (deg): 90.00 90.00 90.00
Sites, in units of the cell vectors:
Cd  0.000  0.000  0.000
Cd  0.500  0.500  0.000
In  0.000  0.000  0.500
In  0.500  0.500  0.500
W  0.000  0.500  0.253
W  0.000  0.500  0.747
W  0.500  0.000  0.253
W  0.500  0.000  0.747


For reference, M_tot by record: 4.53 30.73 0.00 μB per cell.
For reference, Fermi-level density of states by record: 1.43 0.83 0.79 states/eV/atom.